DFT (GGA-PBE) results for a relaxed structure of SrTb2IO8.

Unit cell a=4.9868 b=5.0109 c=7.2763 alpha=90.00 beta=90.00 gamma=90.42
Closest atoms and distances in Å follow each position.
Atoms (fractional coordinates):
1 O 0.2834 0.2603 0.0001  1 I 1.92
2 O 0.8276 0.1918 0.1918  1 I 1.90
3 O 0.1724 0.8082 0.8082  1 I 1.90
4 O 0.1723 0.8080 0.1918  1 I 1.90
5 O 0.8277 0.1920 0.8082  1 I 1.90
6 O 0.6277 0.6863 0.5000  2 Tb 2.24, 1 O 2.25, 1 Sr 2.42
7 O 0.3723 0.3137 0.5000  2 Tb 2.24, 1 O 2.25, 1 Sr 2.42
8 O 0.7166 0.7397 0.9999  1 I 1.92
9 Sr 0.0000 0.0000 0.5000  6 O 2.42-2.59
10 Tb 0.5000 0.5000 0.7667  6 O 2.24-2.34
11 Tb 0.5000 0.5000 0.2333  6 O 2.24-2.34
12 I 0.0000 0.0000 0.0000  6 O 1.90-1.92

As for the symmetry: P2/m.

DFT (GGA-PBE) results for a relaxed structure of SrTcIO2.

Unit cell a=4.1960 b=4.1960 c=5.4418 alpha=90.00 beta=90.00 gamma=90.00
Closest atoms and distances in Å follow each position.
Atoms (fractional coordinates):
1 I 0.0000 0.0000 0.5000  2 Tc 2.72, 4 Sr 2.97
2 O 0.0000 0.5000 0.0000  2 Tc 2.10
3 O 0.5000 0.0000 0.0000  2 Tc 2.10
4 Sr 0.5000 0.5000 0.5000  4 I 2.97
5 Tc 0.0000 0.0000 0.0000  4 O 2.10

The calculation puts the density of states at the Fermi level at 2.937 states/eV/cell. As for the relative energy among the computed polymorphs: 0 meV/atom. As for the symmetry: P4/mmm.

DFT (GGA-PBE) results for a relaxed structure of SrTcI2O.

Unit cell a=6.3618 b=6.3618 c=4.2763 alpha=90.00 beta=90.00 gamma=90.00
Closest atoms and distances in Å follow each position.
Atoms (fractional coordinates):
1 I 0.5000 0.0000 0.0000  2 Sr 3.18
2 I 0.0000 0.5000 0.0000  2 Sr 3.18
3 O 0.0000 0.0000 0.5000  2 Sr 2.14
4 Sr 0.0000 0.0000 0.0000  2 O 2.14
5 Tc 0.5000 0.5000 0.5000  8 I 3.83, 2 Tc 4.28

The calculation puts the density of states at the Fermi level at 2.010 states/eV/cell. As for the relative energy among the computed polymorphs: 898 meV/atom. As for the symmetry: P4/mmm.

DFT (GGA-PBE) results for a relaxed structure of SrTcI2O.

Unit cell a=5.7886 b=5.7886 c=3.8476 alpha=90.00 beta=90.00 gamma=90.00
Closest atoms and distances in Å follow each position.
Atoms (fractional coordinates):
1 O 0.0000 0.0000 0.5000  2 Tc 1.92
2 Tc 0.0000 0.0000 0.0000  2 O 1.92
3 I 0.5000 0.0000 0.0000  2 Tc 2.89
4 I 0.0000 0.5000 0.0000  2 Tc 2.89
5 Sr 0.5000 0.5000 0.5000  8 I 3.48, 2 Sr 3.85

The calculation puts the density of states at the Fermi level at 2.981 states/eV/cell. As for the relative energy among the computed polymorphs: 0 meV/atom. As for the symmetry: P4/mmm.

DFT (GGA-PBE) results for a relaxed structure of SrTcIO2.

Unit cell a=4.5257 b=4.5257 c=6.5263 alpha=90.00 beta=90.00 gamma=90.00
Closest atoms and distances in Å follow each position.
Atoms (fractional coordinates):
1 O 0.0000 0.5000 0.0000  2 Sr 2.26
2 O 0.5000 0.0000 0.0000  2 Sr 2.26
3 Tc 0.5000 0.5000 0.5000  4 I 3.20
4 Sr 0.0000 0.0000 0.0000  4 O 2.26
5 I 0.0000 0.0000 0.5000  4 Tc 3.20, 2 Sr 3.26

The calculation puts the density of states at the Fermi level at 3.101 states/eV/cell. As for the relative energy among the computed polymorphs: 1054 meV/atom. As for the symmetry: P4/mmm.

DFT (GGA-PBE) results for a relaxed structure of SrTeIO6.

Unit cell a=5.8375 b=5.8375 c=5.1676 alpha=90.00 beta=90.00 gamma=60.00
Closest atoms and distances in Å follow each position.
Atoms (fractional coordinates):
1 O 0.3504 0.5991 0.2806  1 I 1.89
2 O 0.5991 0.0505 0.2806  1 I 1.89
3 O 0.0504 0.3505 0.2806  1 I 1.89
4 O 0.3729 0.9452 0.7141  1 Te 1.90
5 O 0.9451 0.6819 0.7142  1 Te 1.90
6 O 0.6819 0.3729 0.7141  1 Te 1.90
7 I 0.3333 0.3333 0.4752  3 O 1.89
8 Te 0.6666 0.6667 0.5386  3 O 1.90
9 Sr 0.0000 0.0000 0.0019  6 O 2.52-2.64

The calculation puts the density of states at the Fermi level at 0.568 states/eV/cell. As for the symmetry: P3.

DFT (GGA-PBE) results for a relaxed structure of SrTiIO2.

Unit cell a=4.5413 b=4.5413 c=6.3221 alpha=90.00 beta=90.00 gamma=90.00
Closest atoms and distances in Å follow each position.
Atoms (fractional coordinates):
1 I 0.0000 0.0000 0.5000  2 Sr 3.16, 4 Ti 3.21
2 O 0.0000 0.5000 0.0000  2 Sr 2.27
3 O 0.5000 0.0000 0.0000  2 Sr 2.27
4 Sr 0.0000 0.0000 0.0000  4 O 2.27
5 Ti 0.5000 0.5000 0.5000  4 I 3.21

The calculation puts the density of states at the Fermi level at 9.020 states/eV/cell. As for the relative energy among the computed polymorphs: 1361 meV/atom. As for the symmetry: P4/mmm.

DFT (GGA-PBE) results for a relaxed structure of SrTiIO2.

Unit cell a=4.1931 b=4.1931 c=5.4982 alpha=90.00 beta=90.00 gamma=90.00
Closest atoms and distances in Å follow each position.
Atoms (fractional coordinates):
1 Ti 0.0000 0.0000 0.0000  4 O 2.10
2 O 0.0000 0.5000 0.0000  2 Ti 2.10
3 O 0.5000 0.0000 0.0000  2 Ti 2.10
4 Sr 0.5000 0.5000 0.5000  4 I 2.96
5 I 0.0000 0.0000 0.5000  2 Ti 2.75, 4 Sr 2.96

The calculation puts the density of states at the Fermi level at 2.555 states/eV/cell. As for the relative energy among the computed polymorphs: 0 meV/atom. As for the symmetry: P4/mmm.

| no. | final energy (Ry per atom) | size of the total moment (μB/atom) | formation energy (no corrections) (eV/atom) |
| --- | --- | --- | --- |
| 1 | -0.4699 | 0.084 | -2.047 |
| 2 | -0.4097 | 0.188 | -0.871 |
| 3 | -0.2871 | 0.891 | 0.115 |
| 4 | -0.3531 | 0.052 | -0.783 |
| 5 | -0.3322 | 1.230 | 0.183 |
| 6 | -0.3807 | 0.118 | -1.165 |
| 7 | -0.3322 | 0.200 | -0.312 |
| 8 | -0.4322 | 0.162 | -1.672 |